Material: TaTi2HIr
Method: DFT, GGA-PBE
State: relaxed

abc: 4.3495 4.3495 3.5560
angles: 90.00 90.00 90.00
Space group P4/mmm (No. 123)
Asymmetric unit:
Ta: 0.0000 0.0000 0.0000
Ti: 0.0000 0.5000 0.5000
H: 0.5000 0.5000 0.5000
Ir: 0.5000 0.5000 0.0000

- Distance to the lowest polymorph of the same formula: 29 meV/atom
- V: 67.27 Å³ per cell

***

Material: K4OsO5
Method: DFT, GGA-PBE
State: relaxed

abc: 8.1896 8.1896 5.5295
angles: 90.00 90.00 90.00
Space group I4 (No. 79)
Asymmetric unit:
K: 0.1059 0.7033 0.0000
Os: 0.0000 0.0000 0.5509
O: 0.0000 0.0000 0.8820
O: 0.0697 0.7787 0.4840

- Uncorrected formation energy: -1.345 eV per atom
- V: 370.86 Å³ per cell

***

Material: TmPuHf
Method: DFT, GGA-PBE
State: relaxed

abc: 3.3054 3.3054 8.1458
angles: 90.00 90.00 120.00
Space group P3m1 (No. 156)
Asymmetric unit:
Tm: 0.0000 0.0000 0.0000
Pu: 0.6667 0.3333 0.3572
Hf: 0.3333 0.6667 0.6728

- Distance to the lowest polymorph of the same formula: 23 meV/atom
- V: 77.08 Å³ per cell
- Energy relative to the elements: 167 meV per atom